No. 1
Computed, not measured: CoAu2S after structural relaxation at the PBE level of DFT.

a b c (Å): 5.7534 5.7534 5.7534
angles (deg): 101.99 101.99 125.76
Closest atoms and distances in Å follow each position.
Atoms (fractional coordinates):
Co  0.0000  0.0000  0.0000  2 S 2.62, 4 Au 2.67
Co  0.7500  0.2500  0.5000  2 S 2.62, 4 Au 2.67
Au  0.1297  0.1250  0.5047  2 S 2.62, 2 Au 2.62, 2 Co 2.67
Au  0.3750  0.8703  0.9953  2 S 2.62, 2 Au 2.62, 2 Co 2.67
Au  0.6203  0.6250  0.4953  2 S 2.62, 2 Au 2.62, 2 Co 2.67
Au  0.8750  0.3797  0.0047  2 S 2.62, 2 Au 2.62, 2 Co 2.67
S  0.2500  0.7500  0.5000  4 Au 2.62, 2 Co 2.62
S  0.5000  0.5000  0.0000  4 Au 2.62, 2 Co 2.62

Calculated values
For the density of states at the Fermi level, the calculation gives 12.46 states/eV per cell. As for the total DFT energy (no corrections): -31.482 eV/cell. The space group is I-42d. Its total magnetization is 3.05 Bohr magnetons per cell.

No. 2
Computed, not measured: NiMoP2 after structural relaxation at the PBE level of DFT.

a b c (Å): 5.5127 3.2266 11.9130
angles (deg): 90.00 90.00 90.00
Closest atoms and distances in Å follow each position.
Atoms (fractional coordinates):
Ni  0.0243  0.2500  0.0865  5 P 2.26-2.33
Ni  0.4757  0.7500  0.5865  5 P 2.26-2.33
Ni  0.5243  0.2500  0.4135  5 P 2.26-2.33
Ni  0.9757  0.7500  0.9135  5 P 2.26-2.33
Mo  0.0135  0.2500  0.3329  7 P 2.47-2.58
Mo  0.4865  0.7500  0.8329  7 P 2.47-2.58
Mo  0.5135  0.2500  0.1671  7 P 2.47-2.58
Mo  0.9865  0.7500  0.6671  7 P 2.47-2.58
P  0.1439  0.2500  0.8065  2 Ni 2.26, 4 Mo 2.47-2.50
P  0.1923  0.2500  0.5334  3 Ni 2.32-2.33, 3 Mo 2.54-2.58
P  0.3077  0.7500  0.0334  3 Ni 2.32-2.33, 3 Mo 2.54-2.58
P  0.3561  0.7500  0.3065  2 Ni 2.26, 4 Mo 2.47-2.50
P  0.6439  0.2500  0.6935  2 Ni 2.26, 4 Mo 2.47-2.50
P  0.6923  0.2500  0.9666  3 Ni 2.32-2.33, 3 Mo 2.54-2.58
P  0.8077  0.7500  0.4666  3 Ni 2.32-2.33, 3 Mo 2.54-2.58
P  0.8561  0.7500  0.1935  2 Ni 2.26, 4 Mo 2.47-2.50

Calculated values
The calculation puts the formation enthalpy at 0 K at -0.507 eV/atom. For the density of states at the Fermi level, the calculation gives 6.98 states/eV per cell. The space group is Pnma. Its total magnetization is 0.00 Bohr magnetons per cell.

Question: Number 2 is which compound?
Answer: NiMoP2